CsTm2Cu3S5: optimized geometry, PBE.

a = 3.937 Å, b = 14.009 Å, c = 16.614 Å
α = 90.00°, β = 90.00°, γ = 90.00°
Space group Cmcm (No. 63)
Unique sites:
1 Cs 0.000 0.064 0.250 [4 per cell]
2 Tm 0.000 0.193 0.592 [8 per cell]
3 Cu 0.000 0.345 0.250 [4 per cell]
4 Cu 0.000 0.417 0.538 [8 per cell]
5 S 0.000 0.170 0.068 [8 per cell]
6 S 0.000 0.233 0.750 [4 per cell]
7 S 0.000 0.436 0.109 [8 per cell]

E	-5.02	eV/atom
total magnetization	0.0	μB per formula unit